# 1
The following is a DFT calculation (PBE-GGA) of crystalline Fe2AgBr at its relaxed geometry.

Geometry as CIF:
```
data_Fe2AgBr
_symmetry_space_group_name_H-M 'R -3 m'
_symmetry_Int_Tables_number 166
_symmetry_space_group_name_Hall '-R 3 2"'
_cell_length_a 3.0487
_cell_length_b 3.0487
_cell_length_c 24.8196
_cell_angle_alpha 90.00
_cell_angle_beta 90.00
_cell_angle_gamma 120.00
loop_
_atom_site_label
_atom_site_fract_x
_atom_site_fract_y
_atom_site_fract_z
Fe1 0.0000 0.0000 0.2471
Ag1 0.0000 0.0000 0.0000
Br1 0.0000 0.0000 0.5000
```

ΔE_f (raw) = 611 meV/atom
E = -4.752 eV per atom
offset from the most stable computed form = 269.4 meV per atom

***

# 2
The following is a DFT calculation (PBE-GGA) of crystalline Li2Cu2P4O13 at its relaxed geometry.

Geometry as CIF:
```
data_Li2Cu2P4O13
_symmetry_space_group_name_H-M 'P 1 21/m 1'
_symmetry_Int_Tables_number 11
_symmetry_space_group_name_Hall '-P 2yb'
_cell_length_a 4.7772
_cell_length_b 8.5379
_cell_length_c 11.7521
_cell_angle_alpha 90.00
_cell_angle_beta 94.43
_cell_angle_gamma 90.00
loop_
_atom_site_label
_atom_site_fract_x
_atom_site_fract_y
_atom_site_fract_z
Li1 0.0117 0.0600 0.3840
Cu1 0.0361 0.0174 0.1289
P1 0.2711 0.2500 0.7421
P2 0.3776 0.7500 0.4762
P3 0.3932 0.2500 0.9840
P4 0.4513 0.2500 0.2888
O1 0.1068 0.0981 0.7431
O2 0.2040 0.1001 0.9904
O3 0.2204 0.5988 0.4794
O4 0.2321 0.7500 0.6992
O5 0.3104 0.0988 0.2430
O6 0.3470 0.7500 0.9383
O7 0.3606 0.2500 0.4261
O8 0.4527 0.2500 0.6385
O9 0.4912 0.2500 0.8533
```

ΔE_f (raw) = -1868 meV/atom
E = -6.540 eV per atom

***

# 3
The following is a DFT calculation (PBE-GGA) of crystalline BHOsC2 at its relaxed geometry.

Geometry as CIF:
```
data_BHOsC2
_symmetry_space_group_name_H-M 'P 4/m m m'
_symmetry_Int_Tables_number 123
_symmetry_space_group_name_Hall '-P 4 2'
_cell_length_a 2.9656
_cell_length_b 2.9656
_cell_length_c 4.9267
_cell_angle_alpha 90.00
_cell_angle_beta 90.00
_cell_angle_gamma 90.00
loop_
_atom_site_label
_atom_site_fract_x
_atom_site_fract_y
_atom_site_fract_z
B1 0.0000 0.0000 0.0000
H1 0.5000 0.5000 0.5000
Os1 0.5000 0.5000 0.0000
C1 0.0000 0.5000 0.5000
```

E = -5.735 eV per atom

***

> The highest E belongs to which entry?

Fe2AgBr